1.
Compound: RbFePbF6
Source: the Alexandria database
Functional: PBE+U
Structure: optimized geometry

Output
**Volume**: 153 Å³/cell
**N(E_F)**: 0.00 states/eV per cell
**Crystal system**: trigonal
**DFT total energy**: -42.264 eV per cell

Unit cell a=5.759 b=5.759 c=5.314 alpha=90.00 beta=89.99 gamma=60.00
Each line ends with the local moment (μB).
Sites, in units of the cell vectors:
F (0.459, 0.011, 0.723)  -0.01
Rb (0.000, 0.000, 0.907)  0.00
F (0.011, 0.530, 0.723)  -0.01
F (0.530, 0.459, 0.723)  -0.01
F (0.224, 0.645, 0.331)  -0.01
F (0.645, 0.131, 0.331)  -0.01
Fe (0.333, 0.333, 0.527)  1.06
Pb (0.667, 0.667, 0.406)  0.00
F (0.131, 0.224, 0.331)  -0.01



2.
Compound: Rb2FePbF6
Source: the Alexandria database
Functional: PBE+U
Structure: optimized geometry

Output
**Volume**: 186 Å³/cell
**N(E_F)**: 26.86 states/eV per cell
**Crystal system**: tetragonal
**DFT total energy**: -47.007 eV per cell

Unit cell a=6.395 b=6.395 c=6.418 alpha=60.12 beta=60.12 gamma=90.00
Each line ends with the local moment (μB).
Sites, in units of the cell vectors:
F (0.731, 0.731, 0.000)  0.02
Fe (0.500, 0.500, 0.000)  3.82
F (0.731, 0.269, 0.000)  0.02
F (0.733, 0.733, 0.533)  0.02
Pb (0.000, 0.000, 0.000)  0.01
F (0.269, 0.731, 0.000)  0.02
Rb (0.250, 0.750, 0.500)  0.00
F (0.269, 0.269, 0.000)  0.02
Rb (0.750, 0.250, 0.500)  0.00
F (0.267, 0.267, 0.467)  0.02



3.
Compound: RbFePb2F8
Source: the Alexandria database
Functional: PBE+U
Structure: optimized geometry

Output
**Volume**: 214 Å³/cell
**N(E_F)**: 0.00 states/eV per cell
**Crystal system**: triclinic
**DFT total energy**: -58.511 eV per cell

Unit cell a=4.903 b=5.650 c=7.889 alpha=87.92 beta=83.54 gamma=98.57
Each line ends with the local moment (μB).
Sites, in units of the cell vectors:
F (0.356, 0.196, 0.020)  0.08
Fe (0.000, 0.000, 0.000)  4.45
F (0.023, 0.750, 0.186)  0.07
F (0.644, 0.804, 0.980)  0.08
F (0.857, 0.193, 0.182)  0.07
F (0.977, 0.250, 0.814)  0.07
F (0.542, 0.273, 0.510)  0.00
F (0.458, 0.727, 0.490)  0.00
F (0.143, 0.807, 0.818)  0.07
Rb (0.000, 0.000, 0.500)  0.00
Pb (0.561, 0.496, 0.242)  0.00
Pb (0.439, 0.504, 0.758)  0.00



4.
Compound: ScFe2PbF
Source: the Alexandria database
Functional: PBE+U
Structure: optimized geometry

Output
**Volume**: 117 Å³/cell
**N(E_F)**: 2.92 states/eV per cell
**Crystal system**: tetragonal
**DFT total energy**: -23.375 eV per cell

Unit cell a=5.461 b=3.918 c=5.461 alpha=90.00 beta=90.00 gamma=90.00
Each line ends with the local moment (μB).
Sites, in units of the cell vectors:
Sc (0.000, 0.000, 0.000)  -0.27
Fe (0.500, 0.000, 0.000)  3.08
Fe (0.000, 0.000, 0.500)  3.09
Pb (0.500, 0.500, 0.500)  -0.04
F (0.000, 0.500, 0.000)  0.02



5.
Compound: Fe2PbSeF
Source: the Alexandria database
Functional: PBE+U
Structure: optimized geometry

Output
**Volume**: 116 Å³/cell
**N(E_F)**: 3.24 states/eV per cell
**Crystal system**: tetragonal
**DFT total energy**: -19.019 eV per cell

Unit cell a=4.587 b=5.507 c=4.587 alpha=90.00 beta=90.00 gamma=90.00
Each line ends with the local moment (μB).
Sites, in units of the cell vectors:
Fe (0.500, 0.000, 0.000)  3.14
F (0.000, 0.500, 0.000)  0.04
Fe (0.000, 0.000, 0.500)  2.95
Se (0.000, 0.000, 0.000)  0.05
Pb (0.500, 0.500, 0.500)  -0.14



6.
Compound: SrFePbF6
Source: the Alexandria database
Functional: PBE+U
Structure: optimized geometry

Output
**Volume**: 313 Å³/cell
**N(E_F)**: 13.48 states/eV per cell
**Crystal system**: trigonal
**DFT total energy**: -94.074 eV per cell

Unit cell a=6.010 b=6.010 c=10.001 alpha=90.00 beta=90.00 gamma=120.00
Each line ends with the local moment (μB).
Sites, in units of the cell vectors:
F (0.632, 0.959, 0.864)  0.02
F (0.672, 0.041, 0.364)  0.02
F (0.632, 0.672, 0.636)  0.02
F (0.959, 0.632, 0.364)  0.02
F (0.672, 0.632, 0.136)  0.02
F (0.368, 0.328, 0.364)  0.02
F (0.041, 0.368, 0.636)  0.02
F (0.959, 0.328, 0.136)  0.02
Sr (0.667, 0.333, 0.750)  0.00
F (0.368, 0.041, 0.136)  0.02
Pb (0.000, 0.000, 0.000)  0.01
F (0.328, 0.368, 0.864)  0.02
Pb (0.000, 0.000, 0.500)  0.01
F (0.041, 0.672, 0.864)  0.02
F (0.328, 0.959, 0.636)  0.02
Sr (0.333, 0.667, 0.250)  0.00
Fe (0.333, 0.667, 0.750)  3.82
Fe (0.667, 0.333, 0.250)  3.82



7.
Compound: SrFePb2F8
Source: the Alexandria database
Functional: PBE+U
Structure: optimized geometry

Output
**Volume**: 194 Å³/cell
**N(E_F)**: 0.00 states/eV per cell
**Crystal system**: monoclinic
**DFT total energy**: -62.722 eV per cell

Unit cell a=4.216 b=5.756 c=8.008 alpha=90.00 beta=90.00 gamma=94.81
Each line ends with the local moment (μB).
Sites, in units of the cell vectors:
F (0.959, 0.232, 0.228)  0.01
F (0.505, 0.247, 0.500)  0.00
F (0.041, 0.768, 0.772)  0.01
F (0.414, 0.216, 0.000)  0.02
F (0.041, 0.768, 0.228)  0.01
F (0.959, 0.232, 0.772)  0.01
Pb (0.500, 0.500, 0.762)  0.00
Sr (0.000, 0.000, 0.500)  0.00
F (0.586, 0.784, 0.000)  0.02
Pb (0.500, 0.500, 0.238)  0.00
F (0.495, 0.753, 0.500)  0.00
Fe (0.000, 0.000, 0.000)  3.81



8.
Compound: TlFePbF2
Source: the Alexandria database
Functional: PBE+U
Structure: optimized geometry

Output
**Volume**: 119 Å³/cell
**N(E_F)**: 1.62 states/eV per cell
**Crystal system**: tetragonal
**DFT total energy**: -18.160 eV per cell

Unit cell a=4.664 b=5.472 c=4.664 alpha=90.00 beta=90.00 gamma=90.00
Each line ends with the local moment (μB).
Sites, in units of the cell vectors:
F (0.000, 0.000, 0.500)  0.01
Fe (0.000, 0.500, 0.000)  3.18
Tl (0.000, 0.000, 0.000)  0.00
Pb (0.500, 0.500, 0.500)  -0.07
F (0.500, 0.000, 0.000)  0.01



9.
Compound: Tl3Fe2PbF9
Source: the Alexandria database
Functional: PBE+U
Structure: optimized geometry

Output
**Volume**: 264 Å³/cell
**N(E_F)**: 0.00 states/eV per cell
**Crystal system**: trigonal
**DFT total energy**: -71.342 eV per cell

Unit cell a=6.237 b=6.237 c=7.836 alpha=90.00 beta=90.00 gamma=120.00
Each line ends with the local moment (μB).
Sites, in units of the cell vectors:
F (0.173, 0.827, 0.298)  0.02
F (0.500, 0.000, 0.000)  0.03
F (0.827, 0.173, 0.702)  0.02
F (0.654, 0.827, 0.298)  0.02
Fe (0.333, 0.667, 0.154)  3.81
Pb (0.000, 0.000, 0.500)  0.02
Fe (0.667, 0.333, 0.846)  3.81
F (0.346, 0.173, 0.702)  0.02
F (0.000, 0.500, 0.000)  0.03
Tl (0.333, 0.667, 0.713)  0.00
F (0.173, 0.346, 0.298)  0.02
Tl (0.667, 0.333, 0.287)  0.00
F (0.500, 0.500, 0.000)  0.03
Tl (0.000, 0.000, 0.000)  0.00
F (0.827, 0.654, 0.702)  0.02



10.
Compound: Tl2FePbF6
Source: the Alexandria database
Functional: PBE+U
Structure: optimized geometry

Output
**Volume**: 374 Å³/cell
**N(E_F)**: 0.00 states/eV per cell
**Crystal system**: orthorhombic
**DFT total energy**: -93.594 eV per cell

Unit cell a=6.171 b=6.694 c=9.065 alpha=90.00 beta=90.00 gamma=90.00
Each line ends with the local moment (μB).
Sites, in units of the cell vectors:
Tl (0.000, 0.205, 0.726)  0.00
F (0.000, 0.798, 0.236)  0.01
F (0.000, 0.798, 0.764)  0.01
F (0.239, 0.557, 0.000)  0.02
F (0.741, 0.003, 0.500)  0.02
F (0.261, 0.443, 0.500)  0.02
Tl (0.500, 0.795, 0.226)  0.00
F (0.500, 0.202, 0.736)  0.01
Fe (0.000, 0.773, 0.000)  3.80
Fe (0.500, 0.227, 0.500)  3.80
Pb (0.000, 0.716, 0.500)  0.01
F (0.500, 0.202, 0.264)  0.01
F (0.259, 0.003, 0.500)  0.02
F (0.739, 0.443, 0.500)  0.02
F (0.761, 0.557, 0.000)  0.02
F (0.241, 0.997, 0.000)  0.02
Pb (0.500, 0.284, 0.000)  0.01
Tl (0.500, 0.795, 0.774)  0.00
Tl (0.000, 0.205, 0.274)  0.00
F (0.759, 0.997, 0.000)  0.02



11.
Compound: VFe2PbF8
Source: the Alexandria database
Functional: PBE+U
Structure: optimized geometry

Output
**Volume**: 177 Å³/cell
**N(E_F)**: 0.00 states/eV per cell
**Crystal system**: monoclinic
**DFT total energy**: -66.914 eV per cell

Unit cell a=5.069 b=5.057 c=6.889 alpha=90.00 beta=90.00 gamma=89.04
Each line ends with the local moment (μB).
Sites, in units of the cell vectors:
F (0.697, 0.701, 0.000)  0.03
Fe (0.500, 0.500, 0.238)  3.81
F (0.665, 0.674, 0.500)  0.03
F (0.789, 0.216, 0.781)  0.03
Pb (0.000, 0.000, 0.500)  0.00
F (0.211, 0.784, 0.219)  0.03
F (0.211, 0.784, 0.781)  0.03
F (0.789, 0.216, 0.219)  0.03
Fe (0.500, 0.500, 0.762)  3.81
F (0.335, 0.326, 0.500)  0.03
F (0.303, 0.299, 0.000)  0.03
V (0.000, 0.000, 0.000)  2.77



12.
Compound: VFePbF6
Source: the Alexandria database
Functional: PBE+U
Structure: optimized geometry

Output
**Volume**: 283 Å³/cell
**N(E_F)**: 14.12 states/eV per cell
**Crystal system**: trigonal
**DFT total energy**: -98.876 eV per cell

Unit cell a=5.572 b=5.572 c=10.510 alpha=90.00 beta=90.00 gamma=120.00
Each line ends with the local moment (μB).
Sites, in units of the cell vectors:
Pb (0.000, 0.000, 0.500)  0.01
F (0.639, 0.642, 0.142)  0.03
F (0.003, 0.642, 0.358)  0.03
V (0.667, 0.333, 0.250)  2.76
V (0.333, 0.667, 0.750)  2.76
F (0.997, 0.358, 0.642)  0.03
F (0.003, 0.361, 0.142)  0.03
F (0.361, 0.358, 0.858)  0.03
F (0.642, 0.639, 0.642)  0.03
F (0.361, 0.003, 0.642)  0.03
Pb (0.000, 0.000, 0.000)  0.01
F (0.358, 0.997, 0.142)  0.03
Fe (0.667, 0.333, 0.750)  3.82
F (0.639, 0.997, 0.358)  0.03
Fe (0.333, 0.667, 0.250)  3.82
F (0.997, 0.639, 0.858)  0.03
F (0.358, 0.361, 0.358)  0.03
F (0.642, 0.003, 0.858)  0.03